A plane-wave DFT calculation with PBE-GGA was carried out for a relaxed structure of SrLiIrW.

a = 4.6276 Å, b = 4.6276 Å, c = 4.6276 Å
α = 60.00°, β = 60.00°, γ = 60.00°
Sites, in units of the cell vectors:
Sr 0.0000 0.0000 0.0000
Li 0.7500 0.7500 0.7500
Ir 0.5000 0.5000 0.5000
W 0.2500 0.2500 0.2500

## Properties
**Space group**: F-43m (216)
**Magnetization**: 0.00 μB per formula unit
**Total DFT energy (no corrections)**: -5.81 eV/atom



A plane-wave DFT calculation with PBE-GGA was carried out for a relaxed structure of LiTaIr2.

a = 3.1553 Å, b = 3.1553 Å, c = 5.8367 Å
α = 90.00°, β = 90.00°, γ = 90.00°
Sites, in units of the cell vectors:
Li 0.0000 0.0000 0.0000
Ta 0.0000 0.0000 0.5000
Ir 0.5000 0.5000 0.2396
Ir 0.5000 0.5000 0.7604

## Properties
**Space group**: P4/mmm (123)
**Magnetization**: 0.00 μB per formula unit
**Total DFT energy (no corrections)**: -8.39 eV/atom



A plane-wave DFT calculation with PBE-GGA was carried out for a relaxed structure of LiTaIr2.

a = 4.2104 Å, b = 4.2104 Å, c = 3.2891 Å
α = 90.00°, β = 90.00°, γ = 90.00°
Sites, in units of the cell vectors:
Li 0.0000 0.0000 0.0000
Ta 0.5000 0.5000 0.0000
Ir 0.0000 0.5000 0.5000
Ir 0.5000 0.0000 0.5000

## Properties
**Space group**: P4/mmm (123)
**Magnetization**: 0.00 μB per formula unit
**Total DFT energy (no corrections)**: -8.35 eV/atom



A plane-wave DFT calculation with PBE-GGA was carried out for a relaxed structure of LiTaIr2.

a = 4.1086 Å, b = 4.1086 Å, c = 8.3801 Å
α = 90.00°, β = 90.00°, γ = 120.00°
Sites, in units of the cell vectors:
Li 0.0000 0.0000 0.0000
Li 0.0000 0.0000 0.5000
Ta 0.3333 0.6667 0.2500
Ta 0.6667 0.3333 0.7500
Ir 0.3333 0.6667 0.5971
Ir 0.3333 0.6667 0.9029
Ir 0.6667 0.3333 0.0971
Ir 0.6667 0.3333 0.4029

## Properties
**Space group**: P6_3/mmc (194)
**Magnetization**: 0.00 μB per formula unit
**Total DFT energy (no corrections)**: -8.20 eV/atom